Material: ZnOsCl
Method: DFT, GGA-PBE
State: optimized geometry

Results
Crystal system: orthorhombic
SG: Fmm2 (42)
Uncorrected formation energy in eV per formula unit: 1.80
Energy in eV per cell: -12.6

Cell lengths 6.988, 6.622, 3.000 Å; angles 84.19, 70.52, 25.29 degrees
Atoms (fractional coordinates):
Zn  0.000  0.000  0.000
Os  0.336  0.336  0.664
Cl  0.680  0.680  0.320

---

Material: ZrOsCl
Method: DFT, GGA-PBE
State: optimized geometry

Results
Crystal system: cubic
SG: F-43m (216)
Uncorrected formation energy in eV per formula unit: 1.32
Energy in eV per cell: -20.3

Cell lengths 4.425, 4.425, 4.425 Å; angles 60.00, 60.00, 60.00 degrees
Atoms (fractional coordinates):
Zr  0.000  0.000  0.000
Os  0.750  0.750  0.750
Cl  0.500  0.500  0.500

---

Material: ZrOsCl2
Method: DFT, GGA-PBE
State: optimized geometry

Results
Crystal system: orthorhombic
SG: Cmmm (65)
Uncorrected formation energy in eV per formula unit: 1.25
Energy in eV per cell: -22.2

Cell lengths 3.104, 3.104, 10.777 Å; angles 90.00, 90.00, 121.39 degrees
Atoms (fractional coordinates):
Zr  0.000  0.000  0.000
Os  0.000  0.000  0.500
Cl  0.500  0.500  0.190
Cl  0.500  0.500  0.810

---

Material: ZrOsCl2
Method: DFT, GGA-PBE
State: optimized geometry

Results
Crystal system: tetragonal
SG: P4mm (99)
Uncorrected formation energy in eV per formula unit: -1.32
Energy in eV per cell: -24.8

Cell lengths 3.115, 3.115, 8.761 Å; angles 90.00, 90.00, 90.00 degrees
Atoms (fractional coordinates):
Zr  0.000  0.000  0.000
Os  0.500  0.500  0.804
Cl  0.000  0.000  0.605
Cl  0.500  0.500  0.205

---

Material: ZrOsCl
Method: DFT, GGA-PBE
State: optimized geometry

Results
Crystal system: hexagonal
SG: P-6m2 (187)
Uncorrected formation energy in eV per formula unit: 0.20
Energy in eV per cell: -21.4

Cell lengths 4.329, 4.329, 3.123 Å; angles 90.00, 90.00, 120.00 degrees
Atoms (fractional coordinates):
Zr  0.000  0.000  0.000
Os  0.333  0.667  0.500
Cl  0.667  0.333  0.500

---

Material: ZrOsCl2
Method: DFT, GGA-PBE
State: optimized geometry

Results
Crystal system: monoclinic
SG: Cm (8)
Uncorrected formation energy in eV per formula unit: -0.90
Energy in eV per cell: -24.4

Cell lengths 5.353, 5.353, 5.588 Å; angles 99.69, 99.69, 36.08 degrees
Atoms (fractional coordinates):
Zr  0.000  0.000  0.000
Os  0.378  0.378  0.710
Cl  0.507  0.507  0.404
Cl  0.724  0.724  0.009

---

Material: Zr3OsCl
Method: DFT, GGA-PBE
State: optimized geometry

Results
Crystal system: cubic
SG: Pm-3m (221)
Uncorrected formation energy in eV per formula unit: 1.47
Energy in eV per cell: -37.3

Cell lengths 4.685, 4.685, 4.685 Å; angles 90.00, 90.00, 90.00 degrees
Atoms (fractional coordinates):
Zr  0.000  0.000  0.500
Zr  0.000  0.500  0.000
Zr  0.500  0.000  0.000
Os  0.500  0.500  0.500
Cl  0.000  0.000  0.000

---

Material: ZrOsCl2
Method: DFT, GGA-PBE
State: optimized geometry

Results
Crystal system: tetragonal
SG: I-42d (122)
Uncorrected formation energy in eV per formula unit: 2.70
Energy in eV per cell: -41.5

Cell lengths 6.704, 6.704, 6.704 Å; angles 130.93, 130.93, 71.92 degrees
Atoms (fractional coordinates):
Zr  0.000  0.000  0.000
Zr  0.750  0.250  0.500
Os  0.250  0.750  0.500
Os  0.500  0.500  0.000
Cl  0.153  0.625  0.028
Cl  0.375  0.403  0.528
Cl  0.597  0.125  0.972
Cl  0.875  0.847  0.472